*P*
DFT (GGA-PBE) results for crystalline Na2SnTe4 at its relaxed geometry.

Calculated volume (A^3/atom): 37.59

Cell: 6.5505 6.5505 7.7409 Å, 116.04 116.04 87.84°
With the nearest neighbours (Å) after each atom.
Fractional coordinates of all 7 atoms:
Na1 0.2675 0.7325 0.5000  6 Te 3.31-3.43
Na2 0.7675 0.2325 0.5000  6 Te 3.31-3.43
Sn1 0.1283 0.8717 0.0000  4 Te 2.73-2.87
Te1 0.5538 0.7488 0.0000  1 Te 2.86, 1 Sn 2.87
Te2 0.2512 0.4462 0.0000  1 Te 2.86, 1 Sn 2.87
Te3 0.2219 0.1904 0.4123  1 Sn 2.73
Te4 0.8096 0.7781 0.5877  1 Sn 2.73

---

*Q*
DFT (GGA-PBE) results for crystalline Na2SnTe4 at its relaxed geometry.

Calculated volume (A^3/atom): 37.71

Cell: 5.8497 5.8497 8.7533 Å, 70.48 70.48 90.00°
With the nearest neighbours (Å) after each atom.
Fractional coordinates of all 7 atoms:
Na1 0.3872 0.3872 0.2255  5 Te 3.12-3.40, 1 Na 3.48
Na2 0.6128 0.6128 0.7745  5 Te 3.12-3.40, 1 Na 3.48
Te1 0.1849 0.1849 0.6301  1 Sn 2.85, 1 Na 3.12
Te2 0.8151 0.8151 0.3699  1 Sn 2.85, 1 Na 3.12
Te3 0.0000 0.5000 0.0000  2 Sn 2.92
Te4 0.5000 0.0000 0.0000  2 Sn 2.92
Sn1 0.0000 0.0000 0.0000  6 Te 2.85-2.92

---

Which is most stable, and by how much? *P*, by 280 meV per atom.

---

*P*
DFT (GGA-PBE) results for crystalline Na2SnTe2 at its relaxed geometry.

Calculated volume (A^3/atom): 29.15

Cell: 9.0268 9.0268 3.5772 Å, 90.00 90.00 90.00°
With the nearest neighbours (Å) after each atom.
Fractional coordinates of all 10 atoms:
Na1 0.1274 0.6274 0.5000  6 Te 3.11-3.28, 1 Na 3.25
Na2 0.6274 0.8726 0.5000  6 Te 3.11-3.28, 1 Na 3.25
Na3 0.8726 0.3726 0.5000  6 Te 3.11-3.28, 1 Na 3.25
Na4 0.3726 0.1274 0.5000  6 Te 3.11-3.28, 1 Na 3.25
Te1 0.3267 0.8267 0.0000  6 Na 3.11-3.28, 2 Sn 3.34
Te2 0.8267 0.6733 0.0000  6 Na 3.11-3.28, 2 Sn 3.34
Te3 0.6733 0.1733 0.0000  6 Na 3.11-3.28, 2 Sn 3.34
Te4 0.1733 0.3267 0.0000  6 Na 3.11-3.28, 2 Sn 3.34
Sn1 0.0000 0.0000 0.0000  4 Te 3.34, 2 Sn 3.58
Sn2 0.5000 0.5000 0.0000  4 Te 3.34, 2 Sn 3.58

---

*Q*
DFT (GGA-PBE) results for crystalline Na2SnTe2 at its relaxed geometry.

Calculated volume (A^3/atom): 32.36

Cell: 4.3761 6.6861 11.2741 Å, 90.00 101.19 90.00°
With the nearest neighbours (Å) after each atom.
Fractional coordinates of all 10 atoms:
Na1 0.0139 0.2809 0.0278  4 Te 3.20-3.29, 2 Na 3.40, 2 Sn 3.58
Na2 0.1828 0.5133 0.3655  6 Te 3.24-3.43
Na3 0.8172 0.0133 0.6345  6 Te 3.24-3.43
Na4 0.9861 0.7809 0.9722  4 Te 3.20-3.29, 2 Na 3.40, 2 Sn 3.58
Sn1 0.6086 0.9966 0.2172  3 Te 2.95-2.98
Sn2 0.3914 0.4966 0.7828  3 Te 2.95-2.98
Te1 0.5760 0.5641 0.1519  1 Sn 2.98, 6 Na 3.20-3.29
Te2 0.1978 0.0107 0.3955  2 Sn 2.95
Te3 0.8022 0.5107 0.6045  2 Sn 2.95
Te4 0.4240 0.0641 0.8481  1 Sn 2.98, 6 Na 3.20-3.29

---

Which is most stable, and by how much? *Q*, by 92 meV per atom.